# SrBeBAu

A relaxed structure of SrBeBAu (PBE-GGA, OQMD).

Structure (POSCAR):
```
SrBeBAu
1.0
0.000 3.293 3.293
3.293 0.000 3.293
3.293 3.293 0.000
Au B Be Sr
1 1 1 1
direct
0.750 0.750 0.750
0.500 0.500 0.500
0.250 0.250 0.250
0.000 0.000 0.000
```

Computed properties:
SG: No. 216
Distance to the lowest polymorph of the same formula: 0.325 eV per atom
Theoretical density: 7075 kg/m³
Crystal system: cubic

# ZrCoSbMo

A relaxed structure of ZrCoSbMo (PBE-GGA, OQMD).

Structure (POSCAR):
```
ZrCoSbMo
1.0
0.000 3.231 3.231
3.231 0.000 3.231
3.231 3.231 0.000
Co Mo Sb Zr
1 1 1 1
direct
0.750 0.750 0.750
0.250 0.250 0.250
0.000 0.000 0.000
0.500 0.500 0.500
```

Computed properties:
Total magnetic moment: 0.001 μB/atom
SG: No. 216
Distance to the lowest polymorph of the same formula: 0.000 eV per atom
Theoretical density: 9053 kg/m³
Crystal system: cubic

# SmZrSe2O

A relaxed structure of SmZrSe2O (PBE-GGA, OQMD).

Structure (POSCAR):
```
SmZrSe2O
1.0
6.048 -1.872 0.000
6.048 1.872 0.000
-0.793 0.000 9.147
O Se Sm Zr
2 4 2 2
direct
0.335 0.335 0.055
0.665 0.665 0.945
0.068 0.068 0.215
0.349 0.349 0.419
0.651 0.651 0.581
0.932 0.932 0.785
0.772 0.772 0.182
0.228 0.228 0.818
0.500 0.500 0.000
0.000 0.000 0.500
```

Computed properties:
Total magnetic moment: 0.056 μB/atom
SG: No. 12
Theoretical density: 6663 kg/m³
Crystal system: monoclinic
DFT total energy: -0.263 Ha/atom

# PrSmTe

A relaxed structure of PrSmTe (PBE-GGA, OQMD).

Structure (POSCAR):
```
PrSmTe
1.0
-4.943 1.408 -0.855
-3.897 -3.059 1.614
-3.008 1.496 3.982
Pr Sm Te
1 1 1
direct
0.250 0.250 0.250
0.750 0.750 0.750
0.000 0.000 0.000
```

Computed properties:
Total magnetic moment: 0.157 μB/atom
SG: No. 216
Distance to the lowest polymorph of the same formula: 0.000 eV per atom
Theoretical density: 6955 kg/m³
Crystal system: cubic

# SbAsPd4

A relaxed structure of SbAsPd4 (PBE-GGA, OQMD).

Structure (POSCAR):
```
SbAsPd4
1.0
0.333 3.364 -8.319
-2.540 -0.883 8.568
5.043 4.292 1.937
As Pd Sb
2 8 2
direct
0.707 0.293 0.271
0.293 0.707 0.771
0.826 0.174 0.040
0.090 0.910 0.178
0.322 0.678 0.399
0.539 0.461 0.495
0.174 0.826 0.540
0.910 0.090 0.678
0.678 0.322 0.899
0.461 0.539 0.995
0.940 0.060 0.303
0.060 0.940 0.803
```

Computed properties:
SG: No. 36
Distance to the lowest polymorph of the same formula: 0.024 eV per atom
Theoretical density: 10195 kg/m³
Crystal system: orthorhombic

# NaFeSnAs

A relaxed structure of NaFeSnAs (PBE-GGA, OQMD).

Structure (POSCAR):
```
NaFeSnAs
1.0
0.000 3.434 3.434
3.434 0.000 3.434
3.434 3.434 0.000
As Fe Na Sn
1 1 1 1
direct
0.250 0.250 0.250
0.500 0.500 0.500
0.750 0.750 0.750
0.000 0.000 0.000
```

Computed properties:
Total magnetic moment: 0.678 μB/atom
SG: No. 216
Distance to the lowest polymorph of the same formula: 0.216 eV per atom
Theoretical density: 5584 kg/m³
Crystal system: cubic

# La2TbZn3Ir2Pt

A relaxed structure of La2TbZn3Ir2Pt (PBE-GGA, OQMD).

Structure (POSCAR):
```
La2TbZn3Ir2Pt
1.0
-3.271 2.046 -1.061
-3.974 -6.170 0.353
0.755 4.279 5.925
Ir La Pt Tb Zn
2 2 1 1 3
direct
0.500 0.662 0.339
0.500 0.339 0.662
0.000 0.417 0.001
0.000 0.001 0.417
0.000 0.995 0.995
0.000 0.590 0.590
0.500 0.250 0.250
0.500 0.991 0.756
0.500 0.756 0.991
```

Computed properties:
Total magnetic moment: 0.000 μB/atom
SG: No. 38
Theoretical density: 10805 kg/m³
Crystal system: orthorhombic
Formation enthalpy at 0 K: -0.746 eV per atom

# DyTmPd

A relaxed structure of DyTmPd (PBE-GGA, OQMD).

Structure (POSCAR):
```
DyTmPd
1.0
-4.970 4.360 2.366
-3.408 -3.061 -1.518
0.159 -3.994 7.696
Dy Pd Tm
4 4 4
direct
0.983 0.250 0.174
0.483 0.250 0.326
0.517 0.750 0.674
0.017 0.750 0.826
0.243 0.750 0.095
0.743 0.750 0.405
0.257 0.250 0.595
0.757 0.250 0.905
0.644 0.750 0.079
0.144 0.750 0.421
0.856 0.250 0.579
0.356 0.250 0.921
```

Computed properties:
Total magnetic moment: 0.001 μB/atom
SG: No. 62
Distance to the lowest polymorph of the same formula: 0.000 eV per atom
Theoretical density: 9897 kg/m³
Crystal system: orthorhombic
Formation enthalpy at 0 K: -0.654 eV per atom

# GdTmPb

A relaxed structure of GdTmPb (PBE-GGA, OQMD).

Structure (POSCAR):
```
GdTmPb
1.0
2.819 1.628 3.254
-2.819 1.628 3.254
0.000 -3.255 3.254
Gd Pb Tm
1 1 1
direct
0.092 0.092 0.092
0.776 0.776 0.776
0.462 0.462 0.462
```

Computed properties:
Total magnetic moment: 0.004 μB/atom
SG: No. 160
Distance to the lowest polymorph of the same formula: 0.064 eV per atom
Theoretical density: 9888 kg/m³
Crystal system: trigonal

# GdMgZn

A relaxed structure of GdMgZn (PBE-GGA, OQMD).

Structure (POSCAR):
```
GdMgZn
1.0
4.179 0.000 0.000
-2.089 3.619 0.000
0.000 0.000 10.388
Gd Mg Zn
2 2 2
direct
0.000 0.000 0.200
0.667 0.333 0.544
0.000 0.000 0.771
0.667 0.333 0.936
0.333 0.667 0.033
0.333 0.667 0.373
```

Computed properties:
Total magnetic moment: 0.002 μB/atom
SG: No. 156
Theoretical density: 5221 kg/m³
Crystal system: trigonal
DFT total energy: -0.090 Ha/atom

# Er2Al3Tc

A relaxed structure of Er2Al3Tc (PBE-GGA, OQMD).

Structure (POSCAR):
```
Er2Al3Tc
1.0
-1.310 4.897 2.069
-2.685 -4.477 1.652
5.945 -1.162 6.513
Al Er Tc
6 4 2
direct
0.163 0.325 0.250
0.163 0.837 0.250
0.675 0.837 0.250
0.325 0.163 0.750
0.837 0.163 0.750
0.837 0.675 0.750
0.667 0.333 0.052
0.667 0.333 0.448
0.333 0.667 0.552
0.333 0.667 0.948
0.000 0.000 0.000
0.000 0.000 0.500
```

Computed properties:
Total magnetic moment: 0.004 μB/atom
SG: No. 194
Theoretical density: 7384 kg/m³
Crystal system: hexagonal
DFT total energy: -0.207 Ha/atom

# Fe2Te

A relaxed structure of Fe2Te (PBE-GGA, OQMD).

Structure (POSCAR):
```
Fe2Te
1.0
5.247 0.000 0.000
0.000 5.247 0.000
0.000 0.000 4.270
Fe Te
4 2
direct
0.335 0.335 0.000
0.665 0.665 0.000
0.835 0.165 0.500
0.165 0.835 0.500
0.000 0.000 0.000
0.500 0.500 0.500
```

Computed properties:
Total magnetic moment: 1.663 μB/atom
SG: No. 136
Theoretical density: 6760 kg/m³
Crystal system: tetragonal
DFT total energy: -0.212 Ha/atom